The following is a DFT calculation (GGA-PBE) of a geometry-optimized Er5ZnIr4 structure.

The structure in POSCAR format:
```
Er5ZnIr4
1.0
3.4242 0.0000 0.0000
0.0000 3.4242 0.0000
0.0000 0.0000 17.2171
Er Zn Ir
5 1 4
Cartesian
1.7121 1.7121 1.9082
1.7121 1.7121 5.2387
1.7121 1.7121 8.6086
1.7121 1.7121 11.9784
1.7121 1.7121 15.3089
0.0000 0.0000 0.0000
0.0000 0.0000 3.4986
0.0000 0.0000 6.9136
0.0000 0.0000 10.3036
0.0000 0.0000 13.7185
```

* N(E_F): 0.868 states/eV/atom
* total energy: -6.741 eV per atom